No. 1
Here is a relaxed structure of NbPtO2F from the Alexandria database. Energies are from PBE.

Its crystal system is tetragonal.

It has space group P4/mmm (No. 123), with a = 4.062 Å, b = 4.062 Å, c = 4.194 Å, α = 90.00°, β = 90.00° and γ = 90.00°. The asymmetric unit holds Nb at (0.000, 0.000, 0.000), Pt at (0.500, 0.500, 0.500), O at (0.000, 0.500, 0.500) and F at (0.500, 0.500, 0.000).

---

No. 2
Here is a relaxed structure of NbPtOF2 from the Alexandria database. Energies are from PBE.

Its crystal system is tetragonal. The energy above the lowest structure with this stoichiometry comes out at 0 meV/atom.

It has space group P4/mmm (No. 123), with a = 4.202 Å, b = 4.202 Å, c = 3.953 Å, α = 90.00°, β = 90.00° and γ = 90.00°. The asymmetric unit holds Nb at (0.000, 0.000, 0.000), Pt at (0.500, 0.500, 0.500), O at (0.000, 0.000, 0.500) and F at (0.000, 0.500, 0.000).

---

No. 3
Here is a relaxed structure of PuNbO4F from the Alexandria database. Energies are from PBE.

Its crystal system is monoclinic.

It has space group C2/m (No. 12), with a = 9.741 Å, b = 7.521 Å, c = 7.453 Å, α = 90.00°, β = 113.00° and γ = 90.00°. The asymmetric unit holds Pu at (0.207, 0.000, 0.168), Nb at (0.138, 0.500, 0.245), O at (0.071, 0.500, 0.861), O at (0.193, 0.500, 0.512), O at (0.213, 0.283, 0.189) and F at (0.030, 0.000, 0.846).

---

No. 4
Here is a relaxed structure of RbNbOF2 from the Alexandria database. Energies are from PBE.

Its crystal system is tetragonal. The energy above the lowest structure with this stoichiometry comes out at 2312 meV/atom.

It has space group P4/mmm (No. 123), with a = 4.803 Å, b = 4.803 Å, c = 4.383 Å, α = 90.00°, β = 90.00° and γ = 90.00°. The asymmetric unit holds Rb at (0.000, 0.000, 0.000), Nb at (0.500, 0.500, 0.500), O at (0.000, 0.000, 0.500) and F at (0.000, 0.500, 0.000).

---

No. 5
Here is a relaxed structure of RbNbOF2 from the Alexandria database. Energies are from PBE.

Its crystal system is tetragonal. The energy above the lowest structure with this stoichiometry comes out at 0 meV/atom.

It has space group P4/mmm (No. 123), with a = 4.463 Å, b = 4.463 Å, c = 4.060 Å, α = 90.00°, β = 90.00° and γ = 90.00°. The asymmetric unit holds Rb at (0.000, 0.000, 0.000), Nb at (0.500, 0.500, 0.500), O at (0.500, 0.500, 0.000) and F at (0.000, 0.500, 0.500).

---

No. 6
Here is a relaxed structure of RbNbO2F from the Alexandria database. Energies are from PBE.

Its crystal system is tetragonal.

It has space group P4/mmm (No. 123), with a = 4.542 Å, b = 4.542 Å, c = 4.608 Å, α = 90.00°, β = 90.00° and γ = 90.00°. The asymmetric unit holds Rb at (0.000, 0.000, 0.000), Nb at (0.500, 0.500, 0.500), O at (0.000, 0.500, 0.000) and F at (0.000, 0.000, 0.500).

---

Looking at raw total energy for the records above, in order, we have -5.5647, -6.1371, -9.3972, -3.9778, -6.2900, -3.9989 eV/atom.
Looking at energy relative to the elements, uncorrected for the records above, in order, we have 0.07, -5.87, -19.67, -0.15, -11.71, 2.83 eV per formula unit.